The following is a DFT calculation (PBE-GGA) of Sm5YSc3 after structural relaxation.

abc: 9.4018 9.4018 11.3475
angles: 52.08 52.08 73.87
Fractional coordinates of all 18 atoms:
Sc 0.0000 0.0000 0.5000
Sc 0.6577 0.6577 0.3261
Sc 0.6861 0.6861 0.8059
Sm 0.2534 0.7466 0.0000
Sc 0.3139 0.3139 0.1941
Sc 0.0000 0.0000 0.0000
Sm 0.3491 0.8524 0.5347
Sm 0.8412 0.8412 0.9056
Sm 0.7466 0.2534 0.0000
Sm 0.4900 0.4900 0.7841
Sm 0.1476 0.6509 0.4653
Sm 0.1588 0.1588 0.0944
Sm 0.5100 0.5100 0.2159
Sm 0.8524 0.3491 0.5347
Sc 0.3423 0.3423 0.6739
Y 0.8192 0.8192 0.4042
Sm 0.6509 0.1476 0.4653
Y 0.1808 0.1808 0.5958

***

The following is a DFT calculation (PBE-GGA) of Sm12Y2Sc after structural relaxation.

abc: 6.7583 6.7583 24.6122
angles: 90.00 90.00 115.90
Fractional coordinates of all 30 atoms:
Sm 0.7511 0.2511 0.1239
Sm 0.2511 0.2489 0.0723
Sm 0.7489 0.2489 0.8761
Sc 0.5000 0.0000 0.9996
Sm 0.0000 0.0000 0.3238
Sm 0.2316 0.7316 0.5868
Sm 0.7511 0.7489 0.9277
Sm 0.2268 0.2732 0.4392
Sm 0.2684 0.7684 0.4132
Sm 0.0000 0.0000 0.6762
Sm 0.0000 0.0000 0.8036
Y 0.5000 0.0000 0.7321
Sm 0.2489 0.7489 0.1239
Sm 0.2511 0.7511 0.8761
Y 0.0000 0.5000 0.7367
Sc 0.0000 0.5000 0.0004
Sm 0.0000 0.0000 0.1964
Sm 0.2489 0.2511 0.9277
Sm 0.5000 0.5000 0.8036
Y 0.0000 0.5000 0.2679
Sm 0.7684 0.2684 0.5868
Y 0.5000 0.0000 0.2633
Sm 0.5000 0.5000 0.1964
Sm 0.5000 0.5000 0.3238
Sm 0.2732 0.2268 0.5608
Sm 0.7316 0.2316 0.4132
Sm 0.7489 0.7511 0.0723
Sm 0.7268 0.7732 0.5608
Sm 0.5000 0.5000 0.6762
Sm 0.7732 0.7268 0.4392

***

The following is a DFT calculation (PBE-GGA) of Sm15Y2Sc2 after structural relaxation.

abc: 8.7635 8.7635 8.7635
angles: 79.12 79.12 79.12
Fractional coordinates of all 19 atoms:
Sm 0.5000 0.0000 0.0000
Sm 0.0000 0.0000 0.5000
Sm 0.2923 0.7077 0.0000
Sm 0.0000 0.5000 0.0000
Sm 0.0000 0.2923 0.7077
Sc 0.0898 0.0898 0.0898
Sm 0.7077 0.0000 0.2923
Sc 0.9102 0.9102 0.9102
Sm 0.2923 0.0000 0.7077
Sm 0.3750 0.3750 0.8488
Sm 0.0000 0.7077 0.2923
Y 0.6854 0.6854 0.6854
Sm 0.1512 0.6250 0.6250
Sm 0.8488 0.3750 0.3750
Sm 0.6250 0.6250 0.1512
Sm 0.7077 0.2923 0.0000
Sm 0.6250 0.1512 0.6250
Y 0.3146 0.3146 0.3146
Sm 0.3750 0.8488 0.3750

***

The following is a DFT calculation (PBE-GGA) of Sm8Y6Sc after structural relaxation.

abc: 9.1029 9.1029 8.6690
angles: 58.33 58.33 60.00
Fractional coordinates of all 15 atoms:
Y 0.5430 0.0995 0.1179
Sm 0.2816 0.8886 0.5823
Sm 0.4229 0.4229 0.7313
Y 0.9005 0.7604 0.8821
Sm 0.7184 0.1114 0.4177
Sm 0.5771 0.5771 0.2687
Y 0.7604 0.4570 0.8821
Y 0.2396 0.5430 0.1179
Y 0.0995 0.2396 0.1179
Sm 0.2474 0.2816 0.5823
Sm 0.8886 0.2474 0.5823
Sm 0.7526 0.7184 0.4177
Sc 0.0000 0.0000 0.0000
Y 0.4570 0.9005 0.8821
Sm 0.1114 0.7526 0.4177

***

no.,uncorrected energy (eV per atom),formation energy from the elements (kJ/mol of formula units)
1,-5.00,388
2,-4.90,236
3,-4.80,495
4,-5.41,166